Record 1
BaDyN | PBE-GGA | optimized geometry

Geometry as POSCAR:
```
BaDyN
1.0
6.9254 0.0000 0.0000
0.0000 3.7040 0.0000
0.0000 -1.8520 3.2078
Dy Ba N
1 1 1
Cartesian
1.0410 0.0000 0.0000
4.0007 1.8520 1.0693
1.8838 0.0000 2.1385
```

Its energy above the lowest structure with this stoichiometry is 2.03 kJ/mol of atoms.

---

Record 2
BaDy2N | PBE-GGA | optimized geometry

Geometry as POSCAR:
```
BaDy2N
1.0
3.5447 0.0000 0.0000
1.7724 3.0698 0.0000
1.7724 1.0233 10.0028
Dy Ba N
2 1 1
Cartesian
5.3171 3.0698 3.6851
1.7724 1.0233 6.3177
0.0000 0.0000 0.0000
3.5447 2.0466 5.0014
```

---

Record 3
BaDyNbN3 | PBE-GGA | optimized geometry

Geometry as POSCAR:
```
BaDyNbN3
1.0
4.0402 0.0000 0.0000
-2.0201 6.8517 0.0120
0.0000 -2.0175 7.4780
Dy N Nb Ba
2 6 2 2
Cartesian
2.0201 1.0021 4.2998
0.0000 3.8321 3.1902
0.0000 5.4048 5.0371
2.0201 4.3840 1.5749
0.0000 1.5262 2.6507
2.0201 -0.5706 2.4529
2.0201 3.3079 4.8393
0.0000 0.4501 5.9151
0.0000 -0.5835 2.2743
2.0201 5.4177 5.2157
2.0201 1.8844 0.5976
0.0000 2.9498 6.8924
```

---

Record 4
BaDy2NpN4 | PBE-GGA | optimized geometry

Geometry as POSCAR:
```
BaDy2NpN4
1.0
-1.4742 -1.4003 2.9389
-3.1021 -3.0371 -5.1759
8.7088 -9.0176 0.0719
Dy N Ba Np
4 8 2 2
Cartesian
5.5586 -11.4897 -2.6861
-1.4260 -1.9653 0.5211
1.7961 -7.5938 -2.7172
2.3365 -5.8612 0.5521
4.3544 -4.5088 0.0360
0.0000 0.0000 0.0000
2.4579 -7.9828 -0.3978
1.6746 -5.4722 -1.7673
0.4955 -3.8741 0.5754
3.6371 -9.5809 -2.7405
5.1743 -10.7956 -0.3754
-1.0418 -2.6594 -1.7897
6.2460 -7.0413 -0.2218
-2.1134 -6.4137 -1.9432
3.7255 -9.4774 -0.4741
0.4071 -3.9776 -1.6910
```

---

Record 5
BaDy2OsN4 | PBE-GGA | optimized geometry

Geometry as POSCAR:
```
BaDy2OsN4
1.0
3.5106 0.0000 0.0000
-1.7553 6.1460 0.0000
0.0000 0.0000 12.1490
N Ba Dy Os
8 2 4 2
Cartesian
1.7553 3.0205 7.3729
0.0000 3.1255 4.7762
1.7553 1.3999 3.0373
1.7553 3.0205 10.8507
0.0000 4.7461 9.1118
0.0000 3.1255 1.2983
0.0000 0.0000 0.0000
0.0000 0.0000 6.0745
1.7553 5.2717 3.0373
0.0000 0.8744 9.1118
1.7553 1.6009 0.4996
0.0000 4.5451 11.6494
1.7553 1.6009 5.5749
0.0000 4.5451 6.5741
0.0000 2.3574 3.0373
1.7553 3.7887 9.1118
```

---

Record 6
Ba3DyP2N6 | PBE-GGA | optimized geometry

Geometry as POSCAR:
```
Ba3DyP2N6
1.0
-4.8360 3.4926 -0.5090
-0.6094 -5.9541 0.1443
-0.5937 0.2369 7.2657
N Ba P Dy
6 3 2 1
Cartesian
-3.7684 -2.5768 1.9613
-1.5488 -4.1798 2.1949
-1.2691 -1.4470 2.1287
-2.2706 0.3521 4.9397
-4.7700 -0.7777 4.7723
-4.4903 1.9552 4.7060
-2.4310 -2.6405 4.9772
0.0000 0.0000 0.0000
-3.6081 0.4159 1.9237
-3.8625 0.5174 5.0366
-2.1766 -2.7420 1.8644
-0.2968 0.1185 3.6328
```

---

The following E_form (uncorrected) values (in eV per atom) correspond, in order, to the records above: -0.726; -0.608; -0.947; -1.076; -0.871; -0.942.
The following E_tot values (in hartree per atom) correspond, in order, to the records above: -0.20859; -0.20104; -0.28942; -0.30308; -0.28769; -0.25250.
The following total magnetization values (in Bohr magnetons per cell) correspond, in order, to the records above: 0.0; 0.3; 0.0; 5.6; 0.0; 0.3.